# PBE ScNbCd, optimized geometry
data_ScNbCd
_space_group_name_H-M_alt 'R -3 m'
_space_group_IT_number 166
_space_group_name_Hall '-R 3 2"'
_cell_length_a 4.5990
_cell_length_b 4.5990
_cell_length_c 22.7102
_cell_angle_alpha 90.00
_cell_angle_beta 90.00
_cell_angle_gamma 120.00
loop_
_atom_site_label
_atom_site_fract_x
_atom_site_fract_y
_atom_site_fract_z
Sc1 0.0000 0.0000 0.0723
Nb1 0.0000 0.0000 0.1935
Cd1 0.0000 0.0000 0.3472
# E_form (meV per atom): 464
# Total magnetic moment (μB/f.u.): 0.000
# DFT total energy (eV/atom): -5.308
# D(E_F) (states/eV/cell): 16.2
# Energy above the most stable polymorph in this dataset (meV per atom): 579

***

# PBE TlAg2TeI, optimized geometry
data_TlAg2TeI
_space_group_name_H-M_alt 'P 1 21/m 1'
_space_group_IT_number 11
_space_group_name_Hall '-P 2yb'
_cell_length_a 8.054
_cell_length_b 4.644
_cell_length_c 9.285
_cell_angle_alpha 90.00
_cell_angle_beta 105.08
_cell_angle_gamma 90.00
loop_
_atom_site_label
_atom_site_fract_x
_atom_site_fract_y
_atom_site_fract_z
Tl1 0.078 0.250 0.278
Ag1 0.457 0.250 0.582
Ag2 0.488 0.750 0.811
Te1 0.241 0.750 0.542
I1 0.299 0.750 0.062
# Formation energy from raw total energies (eV per formula unit): -1.17
# Total magnetic moment (μB/f.u.): 0.000
# DFT total energy (eV/atom): -2.785

***

# PBE Y3Rh, optimized geometry
data_Y3Rh
_space_group_name_H-M_alt 'I 4/m m m'
_space_group_IT_number 139
_space_group_name_Hall '-I 4 2'
_cell_length_a 4.342
_cell_length_b 4.342
_cell_length_c 10.657
_cell_angle_alpha 90.00
_cell_angle_beta 90.00
_cell_angle_gamma 90.00
loop_
_atom_site_label
_atom_site_fract_x
_atom_site_fract_y
_atom_site_fract_z
Y1 0.000 0.000 0.000
Y2 0.000 0.500 0.250
Rh1 0.000 0.000 0.500
# E_form (meV per atom): -104
# Total magnetic moment (μB/f.u.): 0.010
# DFT total energy (eV/atom): -6.790
# D(E_F) (states/eV/cell): 12.9

***

# PBE CdIn2Rh, optimized geometry
data_CdIn2Rh
_space_group_name_H-M_alt 'R 3 m'
_space_group_IT_number 160
_space_group_name_Hall 'R 3 -2"'
_cell_length_a 4.5198
_cell_length_b 4.5198
_cell_length_c 15.0288
_cell_angle_alpha 90.00
_cell_angle_beta 90.00
_cell_angle_gamma 120.00
loop_
_atom_site_label
_atom_site_fract_x
_atom_site_fract_y
_atom_site_fract_z
Cd1 0.0000 0.0000 0.0000
In1 0.0000 0.0000 0.5668
In2 0.0000 0.0000 0.7808
Rh1 0.0000 0.0000 0.1852
# E_form (meV per atom): -123
# Total magnetic moment (μB/f.u.): 0.000
# DFT total energy (eV/atom): -3.559
# D(E_F) (states/eV/cell): 4.2

***

# PBE Pr2AlSi3Pt4, optimized geometry
data_Pr2AlSi3Pt4
_space_group_name_H-M_alt 'P -4 m 2'
_space_group_IT_number 115
_space_group_name_Hall 'P -4 -2'
_cell_length_a 4.294
_cell_length_b 4.294
_cell_length_c 10.005
_cell_angle_alpha 90.00
_cell_angle_beta 90.00
_cell_angle_gamma 90.00
loop_
_atom_site_label
_atom_site_fract_x
_atom_site_fract_y
_atom_site_fract_z
Pr1 0.000 0.500 0.248
Al1 0.500 0.500 0.000
Si1 0.000 0.000 0.000
Si2 0.000 0.500 0.628
Pt1 0.000 0.000 0.500
Pt2 0.000 0.500 0.869
Pt3 0.500 0.500 0.500
# Formation energy from raw total energies (eV per formula unit): -11.28
# Total magnetic moment (μB/f.u.): 0.000
# DFT total energy (eV/atom): -6.502
# D(E_F) (states/eV/cell): 5.4

***

# PBE Ba3Si2, optimized geometry
data_Ba3Si2
_space_group_name_H-M_alt 'F d d 2'
_space_group_IT_number 43
_space_group_name_Hall 'F 2 -2d'
_cell_length_a 7.688
_cell_length_b 18.501
_cell_length_c 10.373
_cell_angle_alpha 90.00
_cell_angle_beta 90.00
_cell_angle_gamma 90.00
loop_
_atom_site_label
_atom_site_fract_x
_atom_site_fract_y
_atom_site_fract_z
Ba1 0.000 0.000 0.000
Ba2 0.069 0.089 0.584
Si1 0.095 0.265 0.552
# Formation energy from raw total energies (eV per formula unit): -0.82
# Total magnetic moment (μB/f.u.): 0.000
# DFT total energy (eV/atom): -3.487
# D(E_F) (states/eV/cell): 12.3

***

# PBE Na5In2Sn5, optimized geometry
data_Na5In2Sn5
_space_group_name_H-M_alt 'P -1'
_space_group_IT_number 2
_space_group_name_Hall '-P 1'
_cell_length_a 5.530
_cell_length_b 8.153
_cell_length_c 8.792
_cell_angle_alpha 103.13
_cell_angle_beta 107.85
_cell_angle_gamma 101.70
loop_
_atom_site_label
_atom_site_fract_x
_atom_site_fract_y
_atom_site_fract_z
Na1 0.000 0.000 0.000
Na2 0.140 0.379 0.871
Na3 0.202 0.107 0.411
In1 0.364 0.784 0.825
Sn1 0.000 0.500 0.500
Sn2 0.393 0.505 0.311
Sn3 0.474 0.848 0.195
# E_form (meV per atom): -111
# Total magnetic moment (μB/f.u.): 0.000
# DFT total energy (eV/atom): -2.785
# D(E_F) (states/eV/cell): 4.6
# Energy above the most stable polymorph in this dataset (meV per atom): 0

***

# PBE K4BeF6, optimized geometry
data_K4BeF6
_space_group_name_H-M_alt 'C 1 c 1'
_space_group_IT_number 9
_space_group_name_Hall 'C -2yc'
_cell_length_a 12.619
_cell_length_b 6.423
_cell_length_c 12.626
_cell_angle_alpha 90.00
_cell_angle_beta 115.36
_cell_angle_gamma 90.00
loop_
_atom_site_label
_atom_site_fract_x
_atom_site_fract_y
_atom_site_fract_z
K1 0.000 0.142 0.000
K2 0.051 0.355 0.308
K3 0.222 0.146 0.825
K4 0.326 0.287 0.156
Be1 0.277 0.232 0.557
F1 0.027 0.259 0.822
F2 0.146 0.162 0.509
F3 0.160 0.188 0.206
F4 0.286 0.436 0.489
F5 0.329 0.284 0.693
F6 0.353 0.054 0.537
# Formation energy from raw total energies (eV per formula unit): -31.92
# Total magnetic moment (μB/f.u.): 0.219
# DFT total energy (eV/atom): -4.661
# D(E_F) (states/eV/cell): 0.0

***

# PBE PrNd8Tl6, optimized geometry
data_PrNd8Tl6
_space_group_name_H-M_alt 'R -3'
_space_group_IT_number 148
_space_group_name_Hall '-R 3'
_cell_length_a 9.3957
_cell_length_b 9.3957
_cell_length_c 19.9340
_cell_angle_alpha 90.00
_cell_angle_beta 90.00
_cell_angle_gamma 120.00
loop_
_atom_site_label
_atom_site_fract_x
_atom_site_fract_y
_atom_site_fract_z
Pr1 0.0000 0.0000 0.0000
Nd1 0.0000 0.0000 0.3331
Nd2 0.9999 0.3325 0.8875
Tl1 0.0001 0.3350 0.0582
# E_form (meV per atom): -169
# Total magnetic moment (μB/f.u.): 0.000
# DFT total energy (eV/atom): -3.977
# D(E_F) (states/eV/cell): 73.4

***

# PBE SrSc3, optimized geometry
data_SrSc3
_space_group_name_H-M_alt 'R -3 m'
_space_group_IT_number 166
_space_group_name_Hall '-R 3 2"'
_cell_length_a 3.4593
_cell_length_b 3.4593
_cell_length_c 33.8576
_cell_angle_alpha 90.00
_cell_angle_beta 90.00
_cell_angle_gamma 120.00
loop_
_atom_site_label
_atom_site_fract_x
_atom_site_fract_y
_atom_site_fract_z
Sr1 0.0000 0.0000 0.0000
Sc1 0.0000 0.0000 0.2408
Sc2 0.0000 0.0000 0.5000
# E_form (meV per atom): 262
# Total magnetic moment (μB/f.u.): 0.000
# DFT total energy (eV/atom): -4.907
# D(E_F) (states/eV/cell): 25.1

***

# PBE Ce14PuHg, optimized geometry
data_Ce14PuHg
_space_group_name_H-M_alt 'A m m 2'
_space_group_IT_number 38
_space_group_name_Hall 'A 2 -2'
_cell_length_a 9.378
_cell_length_b 9.414
_cell_length_c 9.414
_cell_angle_alpha 90.00
_cell_angle_beta 90.00
_cell_angle_gamma 90.00
loop_
_atom_site_label
_atom_site_fract_x
_atom_site_fract_y
_atom_site_fract_z
Ce1 0.000 0.000 0.000
Ce2 0.000 0.000 0.499
Ce3 0.000 0.250 0.250
Ce4 0.251 0.000 0.753
Ce5 0.252 0.000 0.246
Ce6 0.252 0.247 0.000
Ce7 0.500 0.250 0.249
Pu1 0.500 0.000 0.500
Hg1 0.500 0.000 0.999
# E_form (meV per atom): -14
# Total magnetic moment (μB/f.u.): 3.139
# DFT total energy (eV/atom): -6.121
# D(E_F) (states/eV/cell): 78.8

***

# PBE TaHgW2, optimized geometry
data_TaHgW2
_space_group_name_H-M_alt 'I m m m'
_space_group_IT_number 71
_space_group_name_Hall '-I 2 2'
_cell_length_a 3.364
_cell_length_b 4.581
_cell_length_c 9.156
_cell_angle_alpha 90.00
_cell_angle_beta 90.00
_cell_angle_gamma 90.00
loop_
_atom_site_label
_atom_site_fract_x
_atom_site_fract_y
_atom_site_fract_z
Ta1 0.000 0.000 0.000
Hg1 0.000 0.000 0.500
W1 0.000 0.500 0.262
# E_form (meV per atom): 486
# Total magnetic moment (μB/f.u.): 0.000
# DFT total energy (eV/atom): -9.029
# D(E_F) (states/eV/cell): 5.6